1.
Compound: SrCaCuPd2
Source: Alexandria via LeMat-Bulk
Functional: PBE-GGA
Structure: relaxed

energy of formation: 26 meV per atom
V: 24.88 Å³ per atom
size of the total moment: 0.00 Bohr magnetons per cell
symmetry: P4/mmm

```
data_SrCaCuPd2
_chemical_formula_sum 'Sr1 Ca1 Cu1 Pd2'
_cell_length_a 4.992
_cell_length_b 4.992
_cell_length_c 4.991
_cell_angle_alpha 90.00
_cell_angle_beta 90.00
_cell_angle_gamma 90.00
_space_group_name_H-M_alt 'P 1'
_space_group_IT_number 1
loop_
_space_group_symop_operation_xyz
'x,y,z'
loop_
_atom_site_label
_atom_site_type_symbol
_atom_site_fract_x
_atom_site_fract_y
_atom_site_fract_z
Sr1 Sr 0.000 0.000 0.000
Ca1 Ca 0.500 0.500 0.000
Cu1 Cu 0.000 0.000 0.500
Pd1 Pd 0.000 0.500 0.500
Pd2 Pd 0.500 0.000 0.500
```

2.
Compound: CaTbCuPd
Source: Alexandria via LeMat-Bulk
Functional: PBE-GGA
Structure: relaxed

energy of formation: -501 meV per atom
offset from the most stable computed form: 0 meV/atom
V: 23.07 Å³ per atom
size of the total moment: 0.00 Bohr magnetons per cell
symmetry: Amm2

```
data_CaTbCuPd
_chemical_formula_sum 'Ca1 Tb1 Cu1 Pd1'
_cell_length_a 4.354
_cell_length_b 5.782
_cell_length_c 5.782
_cell_angle_alpha 39.35
_cell_angle_beta 90.00
_cell_angle_gamma 90.00
_space_group_name_H-M_alt 'P 1'
_space_group_IT_number 1
loop_
_space_group_symop_operation_xyz
'x,y,z'
loop_
_atom_site_label
_atom_site_type_symbol
_atom_site_fract_x
_atom_site_fract_y
_atom_site_fract_z
Ca1 Ca 0.000 0.000 0.000
Tb1 Tb 0.500 0.722 0.722
Cu1 Cu 0.500 0.428 0.428
Pd1 Pd 0.000 0.280 0.280
```